No. 1
# ScHS3 GGA-PBE relaxed
data_ScHS3
_space_group_name_H-M_alt 'P 1'
_space_group_IT_number 1
_cell_length_a 4.142
_cell_length_b 4.142
_cell_length_c 4.142
_cell_angle_alpha 90.00
_cell_angle_beta 90.00
_cell_angle_gamma 90.00
loop_
_space_group_symop_operation_xyz
'x,y,z'
loop_
_atom_site_label
_atom_site_type_symbol
_atom_site_fract_x
_atom_site_fract_y
_atom_site_fract_z
Sc1 Sc 0.000 0.000 0.000
H1 H 0.500 0.500 0.500
S1 S 0.000 0.500 0.500
S2 S 0.500 0.000 0.500
S3 S 0.500 0.500 0.000
# * Fermi-level density of states: 0.702 states/eV/atom
# * uncorrected energy: -4.35 eV per atom

---

No. 2
# ScHS GGA-PBE relaxed
data_ScHS
_space_group_name_H-M_alt 'P 1'
_space_group_IT_number 1
_cell_length_a 3.565
_cell_length_b 3.565
_cell_length_c 10.918
_cell_angle_alpha 91.62
_cell_angle_beta 91.62
_cell_angle_gamma 59.91
loop_
_space_group_symop_operation_xyz
'x,y,z'
loop_
_atom_site_label
_atom_site_type_symbol
_atom_site_fract_x
_atom_site_fract_y
_atom_site_fract_z
Sc1 Sc 0.020 0.020 0.279
Sc2 Sc 0.980 0.980 0.721
H1 H 0.358 0.358 0.368
H2 H 0.642 0.642 0.632
S1 S 0.321 0.321 0.841
S2 S 0.679 0.679 0.159
# * Fermi-level density of states: 0.000 states/eV/atom
# * uncorrected energy: -5.58 eV per atom

---

No. 3
# Sc4H2S5 GGA-PBE relaxed
data_Sc4H2S5
_space_group_name_H-M_alt 'P 1'
_space_group_IT_number 1
_cell_length_a 9.027
_cell_length_b 9.027
_cell_length_c 7.359
_cell_angle_alpha 103.54
_cell_angle_beta 103.54
_cell_angle_gamma 23.41
loop_
_space_group_symop_operation_xyz
'x,y,z'
loop_
_atom_site_label
_atom_site_type_symbol
_atom_site_fract_x
_atom_site_fract_y
_atom_site_fract_z
Sc1 Sc 0.036 0.036 0.258
Sc2 Sc 0.330 0.330 0.458
Sc3 Sc 0.670 0.670 0.542
Sc4 Sc 0.964 0.964 0.742
H1 H 0.432 0.432 0.640
H2 H 0.568 0.568 0.360
S1 S 0.094 0.094 0.653
S2 S 0.187 0.187 0.303
S3 S 0.500 0.500 0.000
S4 S 0.813 0.813 0.697
S5 S 0.906 0.906 0.347
# * Fermi-level density of states: 0.000 states/eV/atom
# * uncorrected energy: -6.31 eV per atom

---

No. 4
# Sc3HS GGA-PBE relaxed
data_Sc3HS
_space_group_name_H-M_alt 'P 1'
_space_group_IT_number 1
_cell_length_a 4.250
_cell_length_b 4.250
_cell_length_c 4.250
_cell_angle_alpha 90.00
_cell_angle_beta 90.00
_cell_angle_gamma 90.00
loop_
_space_group_symop_operation_xyz
'x,y,z'
loop_
_atom_site_label
_atom_site_type_symbol
_atom_site_fract_x
_atom_site_fract_y
_atom_site_fract_z
Sc1 Sc 0.000 0.000 0.500
Sc2 Sc 0.000 0.500 0.000
Sc3 Sc 0.500 0.000 0.000
H1 H 0.000 0.000 0.000
S1 S 0.500 0.500 0.500
# * energy above the most stable polymorph in this dataset: 0 meV/atom
# * Fermi-level density of states: 0.798 states/eV/atom
# * uncorrected energy: -5.70 eV per atom